# CoB12H28N2O30 PBE+U relaxed
data_CoB12H28N2O30
_symmetry_space_group_name_H-M 'P 1'
_symmetry_Int_Tables_number 1
_symmetry_space_group_name_Hall 'P 1'
_cell_length_a 7.603
_cell_length_b 7.922
_cell_length_c 11.176
_cell_angle_alpha 108.76
_cell_angle_beta 93.68
_cell_angle_gamma 91.27
loop_
_atom_site_label
_atom_site_fract_x
_atom_site_fract_y
_atom_site_fract_z
Co1 0.000 0.000 0.000
B1 0.107 0.562 0.280
B2 0.126 0.891 0.347
B3 0.167 0.701 0.112
B4 0.328 0.014 0.203
B5 0.343 0.151 0.438
B6 0.463 0.760 0.046
B7 0.537 0.240 0.954
B8 0.657 0.849 0.562
B9 0.672 0.986 0.797
B10 0.833 0.299 0.888
B11 0.874 0.109 0.653
B12 0.893 0.438 0.720
H1 0.020 0.356 0.037
H2 0.113 0.299 0.248
H3 0.121 0.048 0.597
H4 0.132 0.982 0.786
H5 0.162 0.643 0.644
H6 0.202 0.266 0.763
H7 0.221 0.684 0.512
H8 0.284 0.185 0.101
H9 0.287 0.454 0.848
H10 0.302 0.974 0.873
H11 0.316 0.519 0.557
H12 0.369 0.733 0.641
H13 0.373 0.305 0.625
H14 0.382 0.428 0.053
H15 0.618 0.572 0.947
H16 0.627 0.695 0.375
H17 0.631 0.267 0.359
H18 0.684 0.481 0.443
H19 0.698 0.026 0.127
H20 0.713 0.546 0.152
H21 0.716 0.815 0.899
H22 0.779 0.316 0.488
H23 0.798 0.734 0.237
H24 0.838 0.357 0.356
H25 0.868 0.018 0.214
H26 0.879 0.952 0.403
H27 0.887 0.701 0.752
H28 0.980 0.644 0.963
N1 0.267 0.646 0.590
N2 0.733 0.354 0.410
O1 0.032 0.750 0.032
O2 0.058 0.068 0.676
O3 0.082 0.411 0.314
O4 0.105 0.554 0.155
O5 0.133 0.722 0.376
O6 0.177 0.932 0.853
O7 0.209 0.115 0.141
O8 0.217 0.867 0.225
O9 0.218 0.032 0.452
O10 0.300 0.354 0.771
O11 0.327 0.640 0.044
O12 0.401 0.299 0.032
O13 0.409 0.133 0.323
O14 0.410 0.295 0.539
O15 0.466 0.935 0.119
O16 0.534 0.065 0.881
O17 0.590 0.705 0.461
O18 0.591 0.867 0.677
O19 0.599 0.701 0.968
O20 0.673 0.360 0.956
O21 0.700 0.646 0.229
O22 0.782 0.968 0.548
O23 0.783 0.133 0.775
O24 0.791 0.885 0.859
O25 0.823 0.068 0.147
O26 0.867 0.278 0.624
O27 0.895 0.446 0.845
O28 0.918 0.589 0.686
O29 0.942 0.932 0.324
O30 0.968 0.250 0.968
# - final energy (Ry per atom) = -0.462
# - crystal system = triclinic
# - volume (Å³/atom) = 8.70
# - total magnetic moment (μB/cell) = 3.002
# - space group = P-1, No. 2